Record 1
Entry from Alexandria via LeMat-Bulk: a relaxed structure of Ce3CrPb (PBE).

Calculated values
ΔH_f (0 K) ... -0.0983 eV per atom
M_tot ... 1.05 μB per formula unit

CIF file:
```
data_Ce3CrPb
_space_group_name_H-M_alt 'P m -3 m'
_space_group_IT_number 221
_space_group_name_Hall '-P 4 2 3'
_cell_length_a 5.088
_cell_length_b 5.088
_cell_length_c 5.088
_cell_angle_alpha 90.00
_cell_angle_beta 90.00
_cell_angle_gamma 90.00
loop_
_atom_site_label
_atom_site_type_symbol
_atom_site_fract_x
_atom_site_fract_y
_atom_site_fract_z
Ce1 Ce 0.000 0.000 0.500
Cr1 Cr 0.000 0.000 0.000
Pb1 Pb 0.500 0.500 0.500
```


Record 2
Entry from Alexandria via LeMat-Bulk: a relaxed structure of CeCrPdS3 (PBE).

Calculated values
Calculated total energy ... -6.5638 eV per atom
M_tot ... 3.85 μB per formula unit

CIF file:
```
data_CeCrPdS3
_space_group_name_H-M_alt 'P 1 21/m 1'
_space_group_IT_number 11
_space_group_name_Hall '-P 2yb'
_cell_length_a 6.982
_cell_length_b 3.759
_cell_length_c 8.590
_cell_angle_alpha 90.00
_cell_angle_beta 106.24
_cell_angle_gamma 90.00
loop_
_atom_site_label
_atom_site_type_symbol
_atom_site_fract_x
_atom_site_fract_y
_atom_site_fract_z
Ce1 Ce 0.226 0.250 0.273
Cr1 Cr 0.320 0.750 0.842
Pd1 Pd 0.122 0.250 0.599
S1 S 0.087 0.250 0.872
S2 S 0.315 0.750 0.536
S3 S 0.438 0.750 0.132
```


Record 3
Entry from Alexandria via LeMat-Bulk: a relaxed structure of CePu2Cr (PBE).

Calculated values
ΔH_f (0 K) ... 0.2480 eV per atom
M_tot ... 8.30 μB per formula unit

CIF file:
```
data_CePu2Cr
_space_group_name_H-M_alt 'P 4/m m m'
_space_group_IT_number 123
_space_group_name_Hall '-P 4 2'
_cell_length_a 3.346
_cell_length_b 3.346
_cell_length_c 7.579
_cell_angle_alpha 90.00
_cell_angle_beta 90.00
_cell_angle_gamma 90.00
loop_
_atom_site_label
_atom_site_type_symbol
_atom_site_fract_x
_atom_site_fract_y
_atom_site_fract_z
Ce1 Ce 0.000 0.000 0.000
Pu1 Pu 0.500 0.500 0.282
Cr1 Cr 0.000 0.000 0.500
```


Record 4
Entry from Alexandria via LeMat-Bulk: a relaxed structure of Rb2Ce2CrS6 (PBE).

Calculated values
Calculated total energy ... -5.8329 eV per atom
M_tot ... 4.03 μB per formula unit

CIF file:
```
data_Rb2Ce2CrS6
_space_group_name_H-M_alt 'C 1 2/m 1'
_space_group_IT_number 12
_space_group_name_Hall '-C 2y'
_cell_length_a 6.907
_cell_length_b 11.749
_cell_length_c 8.167
_cell_angle_alpha 90.00
_cell_angle_beta 106.64
_cell_angle_gamma 90.00
loop_
_atom_site_label
_atom_site_type_symbol
_atom_site_fract_x
_atom_site_fract_y
_atom_site_fract_z
Rb1 Rb 0.000 0.171 0.000
Ce1 Ce 0.000 0.333 0.500
Cr1 Cr 0.000 0.000 0.500
S1 S 0.214 0.151 0.682
S2 S 0.235 0.000 0.320
```


Record 5
Entry from Alexandria via LeMat-Bulk: a relaxed structure of Rb4Ce3CrSe8 (PBE).

Calculated values
Calculated total energy ... -5.1145 eV per atom
M_tot ... 6.00 μB per formula unit

CIF file:
```
data_Rb4Ce3CrSe8
_space_group_name_H-M_alt 'R -3 m'
_space_group_IT_number 166
_space_group_name_Hall '-R 3 2"'
_cell_length_a 8.5730
_cell_length_b 8.5730
_cell_length_c 23.8817
_cell_angle_alpha 90.00
_cell_angle_beta 90.00
_cell_angle_gamma 120.00
loop_
_atom_site_label
_atom_site_type_symbol
_atom_site_fract_x
_atom_site_fract_y
_atom_site_fract_z
Rb1 Rb 0.0000 0.0000 0.0000
Rb2 Rb 0.0000 0.5000 0.0000
Ce1 Ce 0.0000 0.5000 0.5000
Cr1 Cr 0.0000 0.0000 0.5000
Se1 Se 0.0000 0.0000 0.2341
Se2 Se 0.0152 0.5076 0.2301
```


Record 6
Entry from Alexandria via LeMat-Bulk: a relaxed structure of Rb3Ce3CrSe8 (PBE).

Calculated values
Calculated total energy ... -5.3134 eV per atom
M_tot ... 1.00 μB per formula unit

CIF file:
```
data_Rb3Ce3CrSe8
_space_group_name_H-M_alt 'R -3 m'
_space_group_IT_number 166
_space_group_name_Hall '-R 3 2"'
_cell_length_a 8.4305
_cell_length_b 8.4305
_cell_length_c 24.4143
_cell_angle_alpha 90.00
_cell_angle_beta 90.00
_cell_angle_gamma 120.00
loop_
_atom_site_label
_atom_site_type_symbol
_atom_site_fract_x
_atom_site_fract_y
_atom_site_fract_z
Rb1 Rb 0.0000 0.5000 0.0000
Ce1 Ce 0.0000 0.5000 0.5000
Cr1 Cr 0.0000 0.0000 0.5000
Se1 Se 0.0000 0.0000 0.2338
Se2 Se 0.0299 0.5150 0.2270
```